Here is crystalline NaHfSiRu2 at its relaxed geometry from Alexandria via LeMat-Bulk. Energies are from GGA-PBEsol.

Cell and atoms, written as POSCAR:
```
NaHfSiRu2
1.0
4.635 0.000 0.000
0.000 4.635 0.000
0.000 0.000 5.107
Ru Si Hf Na
2 1 1 1
Cartesian
0.000 2.317 0.000
2.317 0.000 0.000
2.317 2.317 2.554
0.000 0.000 0.000
0.000 0.000 2.554
```

Calculated values
Space-group type   P4/mmm (123)
Volume   21.94 Å³ per atom
Energy relative to the elements, uncorrected   8.3 eV/f.u.
Total DFT energy (no corrections)   -5.94 eV/atom
Size of the total moment   0.0 μB per cell

Here is crystalline NaHf3Sb at its relaxed geometry from Alexandria via LeMat-Bulk. Energies are from GGA-PBEsol.

Cell and atoms, written as POSCAR:
```
NaHf3Sb
1.0
-4.125 -3.289 -0.151
2.105 -2.448 -4.175
2.532 -3.323 3.226
Sb Hf Na
1 3 1
Cartesian
0.000 0.000 0.000
1.053 -1.224 -2.087
1.266 -1.661 1.613
-2.062 -1.645 -0.075
0.256 -4.530 -0.550
```

Calculated values
Space-group type   Pm-3m (221)
Volume   29.40 Å³ per atom
Energy relative to the elements, uncorrected   5.1 eV/f.u.
Total DFT energy (no corrections)   -6.47 eV/atom
Size of the total moment   0.0 μB per cell

Here is crystalline NaHf3Sc at its relaxed geometry from Alexandria via LeMat-Bulk. Energies are from GGA-PBEsol.

Cell and atoms, written as POSCAR:
```
NaHf3Sc
1.0
5.073 0.000 0.000
0.000 5.073 0.000
0.000 0.000 5.073
Sc Na Hf
1 1 3
Cartesian
0.000 0.000 0.000
2.537 2.537 2.537
0.000 2.537 0.000
0.000 0.000 2.537
2.537 0.000 0.000
```

Calculated values
Space-group type   Pm-3m (221)
Energy of formation from the pure elements   1.328 eV per atom
Volume   26.11 Å³ per atom
Total DFT energy (no corrections)   -6.58 eV/atom
Size of the total moment   0.0 μB per cell